The following is a PBE calculation of crystalline RuC3N at its relaxed geometry, from Alexandria via LeMat-Bulk.

Values from the calculation:
Energy above the most stable polymorph in this dataset   33 meV per atom
ΔE_f (raw)   1450 kJ/mol of formula units
Space group   Pm-3m (221)
Total magnetization   0.2 μB per formula unit

The structure in POSCAR format:
```
RuC3N
1.0
3.4281 0.0000 0.0000
0.0000 3.4281 0.0000
0.0000 0.0000 3.4281
C Ru N
3 1 1
Direct
0.5000 0.0000 0.0000
0.0000 0.0000 0.5000
0.0000 0.5000 0.0000
0.5000 0.5000 0.5000
0.0000 0.0000 0.0000
```